No. 1
Material: Sr2MgPdI
Method: DFT, PBE
State: relaxed

extended XYZ file:
```
5
Lattice="6.040 0.000 0.000 0.000 6.040 0.000 0.000 0.000 5.030" Properties=species:S:1:pos:R:3 pbc="T T T"
Sr 3.020 0.000 0.000
Sr 0.000 3.020 0.000
Pd 0.000 0.000 0.000
I 3.020 3.020 2.515
Mg 0.000 0.000 2.515
```

Results
- Spin magnetization: 0.0 μB per formula unit
- Raw formation energy: -0.62 eV/atom

***

No. 2
Material: K3Pa2WN6
Method: DFT, PBE
State: relaxed

extended XYZ file:
```
12
Lattice="5.949 -0.004 0.004 -2.976 5.151 0.004 -0.987 -1.708 6.401" Properties=species:S:1:pos:R:3 pbc="T T T"
N 2.048 3.545 1.049
N 1.849 -0.002 1.056
K -2.059 3.482 3.205
Pa 2.977 1.713 0.004
K 0.993 1.719 3.205
N -0.062 -0.107 5.361
N 2.912 1.838 5.354
Pa -0.004 3.435 0.004
N -0.926 1.600 1.056
N 0.137 3.441 5.354
W 0.000 0.000 0.000
K 4.045 -0.044 3.205
```

Results
- Spin magnetization: 0.0 μB per formula unit
- Raw formation energy: -0.86 eV/atom

***

No. 3
Material: AgAsI5
Method: DFT, PBE
State: relaxed

extended XYZ file:
```
14
Lattice="-5.254 -2.669 -4.704 -4.061 -5.380 3.378 -10.136 3.858 2.790" Properties=species:S:1:pos:R:3 pbc="T T T"
I -5.922 -0.326 -0.101
As -5.068 1.929 1.395
I -10.999 -2.002 -0.865
I -8.452 -2.189 2.331
Ag -12.221 -1.219 1.693
I -5.458 -5.006 0.944
I -11.813 -2.146 4.457
I -13.993 0.815 0.522
I -7.638 -2.045 -2.991
I -8.687 -5.281 -1.355
As 0.000 0.000 0.000
I -13.529 -3.864 1.566
Ag -7.230 -2.972 -0.227
I -10.765 1.091 2.820
```

Results
- Spin magnetization: 0.0 μB per formula unit
- Raw formation energy: 0.01 eV/atom

***

No. 4
Material: YCdAg2
Method: DFT, PBE
State: relaxed

extended XYZ file:
```
4
Lattice="-1.057 -1.462 4.198 -3.950 -1.807 -1.624 -1.941 -5.437 -2.382" Properties=species:S:1:pos:R:3 pbc="T T T"
Ag 0.000 0.000 0.000
Ag -2.504 -1.634 1.287
Cd -3.475 -4.353 0.096
Y -0.971 -2.718 -1.191
```

Results
- Spin magnetization: 0.0 μB per formula unit
- Energy of formation: -161 meV per atom

***

No. 5
Material: Er2PIr6
Method: DFT, PBE
State: relaxed

extended XYZ file:
```
9
Lattice="-3.122 1.233 4.924 -4.550 -3.501 1.600 0.481 -3.510 4.791" Properties=species:S:1:pos:R:3 pbc="T T T"
P -3.595 -2.889 5.658
Ir -5.780 -2.557 6.123
Ir -3.084 -2.561 7.833
Ir -1.410 -3.221 5.193
Ir -3.849 -5.099 6.051
Er -1.797 -1.444 2.828
Ir -3.341 -0.680 5.264
Er -5.393 -4.334 8.488
Ir -4.106 -3.217 3.482
```

Results
- Spin magnetization: 0.0 μB per formula unit
- Energy of formation: -701 meV per atom

***

No. 6
Material: Nd3NpBr2O6
Method: DFT, PBE
State: relaxed

extended XYZ file:
```
12
Lattice="0.045 4.476 3.720 -6.409 -1.687 2.106 5.581 -1.730 4.119" Properties=species:S:1:pos:R:3 pbc="T T T"
O -4.517 1.541 4.836
Nd -0.392 0.529 4.972
O 0.458 -1.344 6.185
O 0.806 0.694 3.010
Nd 2.813 1.373 3.919
O 3.734 -0.482 5.109
Nd -3.205 -0.843 1.053
O -1.590 0.364 6.935
O -1.241 2.403 3.759
Br -2.190 -1.366 3.722
Br 1.406 2.425 6.222
Np 0.022 2.238 1.860
```

Results
- Spin magnetization: 2.0 μB per formula unit
- Raw formation energy: -2.63 eV/atom

***

No. 7
Material: PrGa2I8
Method: DFT, PBE
State: relaxed

extended XYZ file:
```
11
Lattice="-5.339 3.843 3.270 -6.255 -0.573 -6.515 -5.063 -6.920 2.892" Properties=species:S:1:pos:R:3 pbc="T T T"
Ga -4.064 -0.281 0.325
I -11.466 -1.379 0.522
Ga -12.593 -3.369 -0.678
I -10.674 -4.866 -1.931
I -5.192 -2.271 -0.875
I -8.272 -2.024 4.081
I -9.029 2.011 -1.899
I -5.984 1.216 1.578
Pr 0.000 0.000 0.000
I -8.386 -1.626 -4.434
I -7.628 -5.661 1.546
```

Results
- Spin magnetization: 0.0 μB per formula unit
- Raw formation energy: -0.74 eV/atom

***

No. 8
Material: AgPdPb
Method: DFT, PBE
State: relaxed

extended XYZ file:
```
3
Lattice="3.117 0.000 0.000 0.000 4.762 0.000 0.000 -2.381 4.124" Properties=species:S:1:pos:R:3 pbc="T T T"
Ag 3.111 0.000 0.000
Pd 1.348 0.000 2.750
Pb 1.774 2.381 1.375
```

Results
- Spin magnetization: 0.0 μB per formula unit
- Energy of formation: -19 meV per atom

***

- What is the spin magnetization in the second record?
  0.0 μB per formula unit